This record from Alexandria via LeMat-Bulk describes a relaxed Sm2Y4Mg crystal. The functional is GGA-PBE.

Cell: 3.570 35.204 3.564 Å, 90.00 90.00 90.00°
Space group Cmmm (No. 65)
Symmetry-distinct sites (fractional):
Sm: 0.000 0.206 0.000 x4
Y: 0.000 0.062 0.000 x4
Y: 0.000 0.366 0.500 x4
Mg: 0.000 0.500 0.500 x2

Output
ΔE to the lowest computed polymorph, meV/atom: 0
Final energy, eV for the cell shown: -73.1
Formation enthalpy at 0 K, eV per atom: 0.05